Record 1
Computed, not measured: a relaxed structure of P2SeICl at the PBE level of DFT.

Total energy: -2.73 eV/atom

abc: 5.011 5.011 4.884
angles: 90.00 90.00 90.00
Fractional coordinates of all 5 atoms:
1 I 0.500 0.500 0.500
2 P 0.000 0.500 0.000
3 P 0.500 0.000 0.000
4 Se 0.000 0.000 0.000
5 Cl 0.000 0.000 0.500


Record 2
Computed, not measured: a relaxed structure of SrLaGa at the PBE level of DFT.

Total energy: -3.47 eV/atom
Formation energy: -0.2538 eV/atom

abc: 7.145 4.048 7.696
angles: 89.99 89.12 73.53
Fractional coordinates of all 6 atoms:
1 Sr 0.465 0.081 0.973
2 Sr 0.936 0.346 0.177
3 Ga 0.294 0.667 0.277
4 Ga 0.759 0.434 0.747
5 La 0.092 0.768 0.656
6 La 0.540 0.044 0.495